No. 1
Crystalline K2MgCu at its relaxed geometry. Source: the Alexandria database, functional GGA-PBE.

* SG: R-3m, No. 166
* V: 160.3 Å³/cell
* DFT formation energy: 0.4385 eV/atom
* E_tot: -6.1 eV/cell
* crystal system: trigonal

Cell lengths 11.335, 11.335, 11.335 Å; angles 20.77, 20.77, 20.77 degrees
Atoms (fractional coordinates):
K: 0.235 0.235 0.235
K: 0.765 0.765 0.765
Mg: 0.000 0.000 0.000
Cu: 0.500 0.500 0.500

No. 2
Crystalline KMgCu2 at its relaxed geometry. Source: the Alexandria database, functional GGA-PBE.

* SG: I-4m2, No. 119
* V: 84.4 Å³/cell
* DFT formation energy: 0.5302 eV/atom
* E_tot: -8.8 eV/cell
* crystal system: tetragonal

Cell lengths 5.336, 5.336, 5.336 Å; angles 131.10, 131.10, 71.66 degrees
Atoms (fractional coordinates):
K: 0.000 0.000 0.000
Mg: 0.250 0.750 0.500
Cu: 0.500 0.500 0.000
Cu: 0.750 0.250 0.500

No. 3
Crystalline K2MgCu at its relaxed geometry. Source: the Alexandria database, functional GGA-PBE.

* SG: P2/m, No. 10
* V: 146.3 Å³/cell
* DFT formation energy: 0.3567 eV/atom
* E_tot: -6.5 eV/cell
* crystal system: monoclinic

Cell lengths 3.941, 3.980, 9.325 Å; angles 90.00, 90.11, 90.00 degrees
Atoms (fractional coordinates):
K: 0.000 0.000 0.211
K: 0.000 0.000 0.789
Mg: 0.500 0.500 0.500
Cu: 0.500 0.500 0.000

No. 4
Crystalline KMg2Cu at its relaxed geometry. Source: the Alexandria database, functional GGA-PBE.

* SG: P2/m, No. 10
* V: 102.8 Å³/cell
* DFT formation energy: 0.1408 eV/atom
* E_tot: -7.8 eV/cell
* crystal system: monoclinic

Cell lengths 3.257, 3.420, 9.232 Å; angles 90.00, 90.40, 90.00 degrees
Atoms (fractional coordinates):
K: 0.000 0.000 0.000
Mg: 0.498 0.500 0.338
Mg: 0.502 0.500 0.662
Cu: 0.000 0.000 0.500

No. 5
Crystalline K2MgCu at its relaxed geometry. Source: the Alexandria database, functional GGA-PBE.

* SG: Cm, No. 8
* V: 168.3 Å³/cell
* DFT formation energy: 0.1916 eV/atom
* E_tot: -7.1 eV/cell
* crystal system: monoclinic

Cell lengths 4.621, 4.621, 9.451 Å; angles 103.26, 103.26, 59.85 degrees
Atoms (fractional coordinates):
K: 0.000 0.000 0.000
K: 0.170 0.170 0.546
Mg: 0.418 0.418 0.273
Cu: 0.752 0.752 0.274

No. 6
Crystalline KMg2Cu at its relaxed geometry. Source: the Alexandria database, functional GGA-PBE.

* SG: R3m, No. 160
* V: 107.1 Å³/cell
* DFT formation energy: 0.3444 eV/atom
* E_tot: -7.0 eV/cell
* crystal system: trigonal

Cell lengths 10.186, 10.186, 10.186 Å; angles 19.90, 19.90, 19.90 degrees
Atoms (fractional coordinates):
K: 0.000 0.000 0.000
Mg: 0.224 0.224 0.224
Mg: 0.475 0.475 0.475
Cu: 0.753 0.753 0.753

Which value of V does entry 5 give? 168.3 Å³/cell

Repeat the third record exactly.
Crystalline K2MgCu at its relaxed geometry. Source: the Alexandria database, functional GGA-PBE.

* SG: P2/m, No. 10
* V: 146.3 Å³/cell
* DFT formation energy: 0.3567 eV/atom
* E_tot: -6.5 eV/cell
* crystal system: monoclinic

Cell lengths 3.941, 3.980, 9.325 Å; angles 90.00, 90.11, 90.00 degrees
Atoms (fractional coordinates):
K: 0.000 0.000 0.211
K: 0.000 0.000 0.789
Mg: 0.500 0.500 0.500
Cu: 0.500 0.500 0.000

Which formula does entry 5 have? K2MgCu

E_tot of number 5 (K2MgCu)? -7.1 eV/cell